Entry 1:
Here is crystalline Sb3AsIr at its relaxed geometry from the Alexandria database. Energies are from GGA-PBE.

Cell: 5.1756 5.1756 5.1756 Å, 90.00 90.00 90.00°
With the nearest neighbours (Å) after each atom.
Sites, in units of the cell vectors:
Ir (0.0000, 0.0000, 0.0000)  6 Sb 2.59
Sb (0.5000, 0.0000, 0.0000)  2 Ir 2.59
Sb (0.0000, 0.5000, 0.0000)  2 Ir 2.59
Sb (0.0000, 0.0000, 0.5000)  2 Ir 2.59
As (0.5000, 0.5000, 0.5000)  12 Sb 3.66

Output
- total moment (μB/atom) = 0.000
- SG = Pm-3m, No. 221
- energy relative to the lowest polymorph listed for this composition (eV/atom) = 0.000
- formation energy without anion corrections (eV per atom) = 0.5864
- E (eV/atom) = -4.59

---

Entry 2:
Here is crystalline SmEr3S4 at its relaxed geometry from the Alexandria database. Energies are from GGA-PBE.

Cell: 3.8609 6.7813 6.7813 Å, 108.97 90.00 90.00°
With the nearest neighbours (Å) after each atom.
Sites, in units of the cell vectors:
S (0.5000, 0.2545, 0.7455)  5 Er 2.71-2.76, 1 Sm 2.81
S (0.5000, 0.7455, 0.2545)  5 Er 2.71-2.76, 1 Sm 2.81
S (0.0000, 0.7407, 0.7407)  4 Er 2.71-2.76, 2 Sm 2.81
S (0.0000, 0.2593, 0.2593)  4 Er 2.71-2.76, 2 Sm 2.81
Sm (0.5000, 0.0000, 0.0000)  6 S 2.81
Er (0.0000, 0.0000, 0.5000)  6 S 2.76
Er (0.5000, 0.5000, 0.5000)  6 S 2.71
Er (0.0000, 0.5000, 0.0000)  6 S 2.76

Output
- total moment (μB/atom) = 0.000
- SG = Cmmm, No. 65
- energy relative to the lowest polymorph listed for this composition (eV/atom) = 0.000
- formation energy without anion corrections (eV per atom) = -1.9668
- E (eV/atom) = -6.33

---

Entry 3:
Here is crystalline Tb3Nd2DySe6 at its relaxed geometry from the Alexandria database. Energies are from GGA-PBE.

Cell: 4.1164 8.3301 9.2503 Å, 103.18 102.86 90.00°
With the nearest neighbours (Å) after each atom.
Sites, in units of the cell vectors:
Se (0.3355, 0.9260, 0.6711)  1 Dy 2.89, 3 Tb 2.89-2.90, 2 Nd 2.99
Se (0.0034, 0.7534, 0.0068)  2 Dy 2.92, 3 Tb 2.92-2.94, 1 Nd 3.01
Se (0.6630, 0.5901, 0.3261)  3 Tb 2.86-2.87, 3 Nd 2.96-2.97
Se (0.3370, 0.4099, 0.6739)  3 Tb 2.86-2.87, 3 Nd 2.96-2.97
Se (0.6645, 0.0740, 0.3289)  1 Dy 2.89, 3 Tb 2.89-2.90, 2 Nd 2.99
Se (0.9966, 0.2466, 0.9932)  2 Dy 2.92, 3 Tb 2.92-2.94, 1 Nd 3.01
Nd (0.1683, 0.3359, 0.3366)  6 Se 2.96-3.01
Nd (0.8317, 0.6641, 0.6634)  6 Se 2.96-3.01
Tb (0.1700, 0.8334, 0.3400)  6 Se 2.87-2.92
Tb (0.5000, 0.5000, 0.0000)  6 Se 2.86-2.94
Tb (0.8300, 0.1666, 0.6600)  6 Se 2.87-2.92
Dy (0.5000, 0.0000, 0.0000)  6 Se 2.89-2.92

Output
- total moment (μB/atom) = 0.000
- SG = C2/m, No. 12
- formation energy without anion corrections (eV per atom) = -1.7905
- E (eV/atom) = -5.87

---

Entry 4:
Here is crystalline Ca2LaZn2Ga2 at its relaxed geometry from the Alexandria database. Energies are from GGA-PBE.

Cell: 4.5009 4.5009 10.7057 Å, 77.87 77.87 60.00°
With the nearest neighbours (Å) after each atom.
Sites, in units of the cell vectors:
Ga (0.7313, 0.7313, 0.8061)  3 Zn 2.60
Ga (0.2687, 0.2687, 0.1939)  3 Zn 2.60
Ca (0.1214, 0.1214, 0.6358)  3 Ga 3.14, 3 Zn 3.17
Ca (0.8786, 0.8786, 0.3642)  3 Ga 3.14, 3 Zn 3.17
La (0.0000, 0.0000, 0.0000)  6 Zn 3.26, 6 Ga 3.29
Zn (0.3963, 0.3963, 0.8112)  3 Ga 2.60
Zn (0.6037, 0.6037, 0.1888)  3 Ga 2.60

Output
- total moment (μB/atom) = 0.000
- SG = R-3m, No. 166
- formation energy (eV/atom) = -0.419
- E (eV/atom) = -2.92

---

D(E_F) (states/eV/f.u.)
4.61; 4.64; 5.63; 3.42